Entry from Alexandria: Sm5BeSe4 after structural relaxation (PBE-GGA).

abc: 5.881 7.214 7.214
angles: 80.44 65.94 65.94
Fractional coordinates of all 10 atoms:
1 Sm 0.904 0.386 0.807
2 Sm 0.291 0.807 0.614
3 Sm 0.711 0.193 0.386
4 Sm 0.098 0.614 0.193
5 Sm 0.501 0.000 0.000
6 Be 0.001 0.000 0.000
7 Se 0.405 0.399 0.793
8 Se 0.804 0.793 0.601
9 Se 0.198 0.207 0.399
10 Se 0.597 0.601 0.207

Its space-group type is I4/m, No. 87. The energy comes out at -5.586 eV per atom. The raw formation energy is -1.460 eV/atom. Its volume is 255.2 Å³/cell.